Entry 1:
Entry from the Alexandria database: Ca2HfPaP4 after structural relaxation (PBE-GGA).

POSCAR file:
```
Ca2HfPaP4
1.0
-0.077 0.704 3.892
4.288 -5.165 1.019
3.700 5.848 -0.984
Pa P Ca Hf
1 4 2 1
Direct
0.500 0.500 0.000
0.000 0.752 0.229
0.500 0.235 0.224
0.500 0.765 0.776
0.000 0.248 0.771
0.000 0.500 0.500
0.500 0.000 0.500
0.000 0.000 0.000
```

Crystal system ... monoclinic
Energy relative to the elements ... -1259 meV/atom
Calculated volume ... 177.7 Å³/cell

---

Entry 2:
Entry from the Alexandria database: ScSbSe2 after structural relaxation (PBE-GGA).

POSCAR file:
```
ScSbSe2
1.0
2.184 0.000 8.752
-1.092 1.891 8.752
-1.092 -1.891 8.752
Sc Se Sb
1 2 1
Direct
0.500 0.500 0.500
0.107 0.107 0.107
0.893 0.893 0.893
0.000 0.000 0.000
```

Crystal system ... trigonal
Uncorrected formation energy ... -976 meV per atom
Calculated volume ... 108.4 Å³/cell

---

Entry 3:
Entry from the Alexandria database: LaSm2Zn after structural relaxation (PBE-GGA).

POSCAR file:
```
LaSm2Zn
1.0
4.910 0.000 0.000
0.000 4.858 0.000
0.000 0.000 4.858
Sm Zn La
2 1 1
Direct
0.000 0.500 0.000
0.000 0.000 0.500
0.500 0.000 0.000
0.500 0.500 0.500
```

Crystal system ... tetragonal
Offset from the most stable computed form ... 0.47 eV per formula unit
Energy relative to the elements ... -36 meV/atom
Calculated volume ... 115.9 Å³/cell